(1)
The following is a PBE-GGA calculation of a geometry-optimized RbSrAgBr4 structure, from Alexandria via LeMat-Bulk. Values from VASP.

Computed properties:
The crystal system is monoclinic. The uncorrected formation energy is -1490.5 meV/atom. The theoretical density comes out at 3.90 g/cm³. As for the space group: P2_1/m.

The structure in Quantum ESPRESSO input format:
```
&SYSTEM
  ibrav = 0, nat = 14, ntyp = 4
/
ATOMIC_SPECIES
Rb 85.47 Rb.upf
Sr 87.62 Sr.upf
Ag 107.87 Ag.upf
Br 79.90 Br.upf
ATOMIC_POSITIONS angstrom
Rb 1.587 1.906 0.458
Rb 2.763 5.719 8.573
Sr -0.056 1.906 5.007
Sr 4.406 5.719 4.023
Ag 0.783 5.719 2.905
Ag 3.567 1.906 6.126
Br -2.015 3.894 6.453
Br -2.015 7.544 6.453
Br 2.896 5.719 1.303
Br 1.707 5.719 5.424
Br 2.642 1.906 3.607
Br 1.453 1.906 7.727
Br 6.365 0.081 2.578
Br 6.365 3.731 2.578
CELL_PARAMETERS angstrom
7.420 0.000 0.000
0.000 7.625 0.000
-3.070 0.000 9.030
```

***

(2)
The following is a PBE-GGA calculation of a geometry-optimized Rb3SrAg2Br6 structure, from Alexandria via LeMat-Bulk. Values from VASP.

Computed properties:
The crystal system is trigonal. The uncorrected formation energy is -1204.0 meV/atom. The theoretical density comes out at 3.32 g/cm³. As for the space group: P-3m1.

The structure in Quantum ESPRESSO input format:
```
&SYSTEM
  ibrav = 0, nat = 12, ntyp = 4
/
ATOMIC_SPECIES
Rb 85.47 Rb.upf
Sr 87.62 Sr.upf
Ag 107.87 Ag.upf
Br 79.90 Br.upf
ATOMIC_POSITIONS angstrom
Rb 0.000 0.000 0.000
Rb 0.000 4.801 5.317
Rb 4.158 2.401 3.366
Sr 0.000 0.000 4.341
Ag 0.000 4.801 1.116
Ag 4.158 2.401 7.566
Br 0.000 2.423 2.536
Br -2.060 5.990 2.536
Br 2.098 1.211 6.146
Br 2.060 5.990 2.536
Br 6.217 1.211 6.146
Br 4.158 4.779 6.146
CELL_PARAMETERS angstrom
8.316 0.000 0.000
-4.158 7.202 0.000
0.000 0.000 8.683
```

***

(3)
The following is a PBE-GGA calculation of a geometry-optimized RbSr3Ag4Br12 structure, from Alexandria via LeMat-Bulk. Values from VASP.

Computed properties:
The crystal system is trigonal. The uncorrected formation energy is -1206.4 meV/atom. The theoretical density comes out at 3.47 g/cm³. As for the space group: R32.

The structure in Quantum ESPRESSO input format:
```
&SYSTEM
  ibrav = 0, nat = 20, ntyp = 4
/
ATOMIC_SPECIES
Rb 85.47 Rb.upf
Sr 87.62 Sr.upf
Ag 107.87 Ag.upf
Br 79.90 Br.upf
ATOMIC_POSITIONS angstrom
Rb 0.000 0.000 0.000
Sr -4.399 -1.447 3.900
Sr 3.453 -3.086 3.900
Sr 0.946 4.533 3.900
Ag -3.312 -5.736 5.850
Ag 0.000 0.000 5.850
Ag -3.312 5.736 5.850
Ag 6.624 0.000 5.850
Br -5.080 -3.917 5.587
Br -6.356 0.000 5.850
Br -0.852 -6.358 6.114
Br -2.590 0.000 5.850
Br -5.080 3.917 6.114
Br 3.178 -5.504 5.850
Br 1.295 -2.243 5.850
Br -0.852 6.358 5.587
Br 1.295 2.243 5.850
Br 5.932 -2.441 5.587
Br 3.178 5.504 5.850
Br 5.932 2.441 6.114
CELL_PARAMETERS angstrom
7.852 4.533 3.900
-7.852 4.533 3.900
0.000 -9.066 3.900
```

***

(4)
The following is a PBE-GGA calculation of a geometry-optimized Rb2SrAgBr6 structure, from Alexandria via LeMat-Bulk. Values from VASP.

Computed properties:
The crystal system is tetragonal. The uncorrected formation energy is -1333.5 meV/atom. The theoretical density comes out at 3.71 g/cm³. As for the space group: I4/mmm. As for the energy above the most stable polymorph in this dataset: 27 meV/atom.

The structure in Quantum ESPRESSO input format:
```
&SYSTEM
  ibrav = 0, nat = 10, ntyp = 4
/
ATOMIC_SPECIES
Rb 85.47 Rb.upf
Sr 87.62 Sr.upf
Ag 107.87 Ag.upf
Br 79.90 Br.upf
ATOMIC_POSITIONS angstrom
Rb 4.082 0.000 2.838
Rb 0.000 4.082 2.838
Sr 0.000 0.000 0.000
Ag 0.000 0.000 5.677
Br 2.108 2.108 0.000
Br 1.974 -1.974 5.677
Br 0.000 0.000 2.987
Br 0.000 0.000 8.367
Br -1.974 1.974 5.677
Br 1.974 1.974 5.677
CELL_PARAMETERS angstrom
-4.082 4.082 5.677
4.082 -4.082 5.677
4.082 4.082 -5.677
```